Record 1
A relaxed structure of SrAlPbBr2. Source: the Alexandria database, functional PBE-GGA.

a b c (Å): 5.2923 5.2923 6.6101
angles (deg): 90.00 90.00 90.00
Positions (direct):
1 Sr 0.0000 0.0000 0.0000
2 Al 0.0000 0.0000 0.5000
3 Pb 0.5000 0.5000 0.0000
4 Br 0.0000 0.5000 0.5000
5 Br 0.5000 0.0000 0.5000

Values from the calculation:
For the uncorrected formation energy, the calculation gives -16.85 kJ/mol of atoms.

Record 2
A relaxed structure of ScPOs2. Source: the Alexandria database, functional PBE-GGA.

a b c (Å): 5.6811 5.6811 5.6811
angles (deg): 102.34 102.34 124.92
Positions (direct):
1 Sc 0.0000 0.0000 0.0000
2 Sc 0.7500 0.2500 0.5000
3 P 0.2500 0.7500 0.5000
4 P 0.5000 0.5000 0.0000
5 Os 0.2073 0.1250 0.5823
6 Os 0.3750 0.7927 0.9177
7 Os 0.5427 0.6250 0.4177
8 Os 0.8750 0.4573 0.0823

Values from the calculation:
The value obtained for the uncorrected energy is -8.649 eV/atom.

Record 3
A relaxed structure of In2OsCl. Source: the Alexandria database, functional PBE-GGA.

a b c (Å): 5.2409 5.2409 2.8832
angles (deg): 90.00 90.00 90.00
Positions (direct):
1 In 0.0000 0.5000 0.0000
2 In 0.5000 0.0000 0.0000
3 Os 0.0000 0.0000 0.5471
4 Cl 0.5000 0.5000 0.2294

Values from the calculation:
For the uncorrected formation energy, the calculation gives 20.24 kJ/mol of atoms.